# PBE-GGA Mg6SnHg2, relaxed
data_Mg6SnHg2
_space_group_name_H-M_alt 'P 1'
_space_group_IT_number 1
_cell_length_a 5.458
_cell_length_b 8.827
_cell_length_c 8.827
_cell_angle_alpha 75.85
_cell_angle_beta 80.34
_cell_angle_gamma 80.34
loop_
_space_group_symop_operation_xyz
'x,y,z'
loop_
_atom_site_label
_atom_site_fract_x
_atom_site_fract_y
_atom_site_fract_z
Mg1 0.475 0.678 0.429
Mg2 0.025 0.571 0.322
Mg3 0.525 0.322 0.571
Mg4 0.975 0.429 0.678
Mg5 0.640 0.104 0.347
Mg6 0.860 0.653 0.896
Mg7 0.360 0.896 0.653
Mg8 0.140 0.347 0.104
Mg9 0.312 0.751 0.022
Mg10 0.188 0.978 0.249
Mg11 0.688 0.249 0.978
Mg12 0.812 0.022 0.751
Sn1 0.250 0.114 0.886
Sn2 0.750 0.886 0.114
Hg1 0.411 0.544 0.789
Hg2 0.089 0.211 0.456
Hg3 0.589 0.456 0.211
Hg4 0.911 0.789 0.544
# Crystal system: monoclinic
# Excess energy over the best structure of this formula in the dataset (eV per atom): 0.036
# Formation energy from the elements (eV per atom): -0.129
# Total moment (μB per formula unit): 0.00
# Space-group type: No. 15
# N(E_F) (states/eV/f.u.): 2.627

# PBE-GGA Mg7Sn3Hg2, relaxed
data_Mg7Sn3Hg2
_space_group_name_H-M_alt 'P 1'
_space_group_IT_number 1
_cell_length_a 4.149
_cell_length_b 4.701
_cell_length_c 15.276
_cell_angle_alpha 98.85
_cell_angle_beta 90.00
_cell_angle_gamma 90.00
loop_
_space_group_symop_operation_xyz
'x,y,z'
loop_
_atom_site_label
_atom_site_fract_x
_atom_site_fract_y
_atom_site_fract_z
Mg1 0.000 0.420 0.839
Mg2 0.000 0.776 0.553
Mg3 0.000 0.000 0.000
Mg4 0.000 0.580 0.161
Mg5 0.500 0.073 0.146
Mg6 0.500 0.927 0.854
Mg7 0.000 0.224 0.447
Sn1 0.500 0.500 0.000
Sn2 0.500 0.684 0.368
Sn3 0.500 0.316 0.632
Hg1 0.000 0.865 0.730
Hg2 0.000 0.135 0.270
# Crystal system: orthorhombic
# Formation energy from the elements (eV per atom): -0.004
# Total moment (μB per formula unit): 0.00
# Space-group type: No. 65
# N(E_F) (states/eV/f.u.): 4.045

# PBE-GGA MgSn2Hg, relaxed
data_MgSn2Hg
_space_group_name_H-M_alt 'P 1'
_space_group_IT_number 1
_cell_length_a 3.398
_cell_length_b 3.200
_cell_length_c 10.295
_cell_angle_alpha 68.63
_cell_angle_beta 90.00
_cell_angle_gamma 90.00
loop_
_space_group_symop_operation_xyz
'x,y,z'
loop_
_atom_site_label
_atom_site_fract_x
_atom_site_fract_y
_atom_site_fract_z
Mg1 0.500 0.500 0.250
Sn1 0.000 0.253 0.026
Sn2 0.000 0.747 0.474
Hg1 0.500 0.500 0.750
# Crystal system: monoclinic
# Excess energy over the best structure of this formula in the dataset (eV per atom): 0.000
# Formation energy from the elements (eV per atom): -0.037
# Total moment (μB per formula unit): 0.00
# Space-group type: No. 10
# N(E_F) (states/eV/f.u.): 1.003

# PBE-GGA Mg4Sn5Hg, relaxed
data_Mg4Sn5Hg
_space_group_name_H-M_alt 'P 1'
_space_group_IT_number 1
_cell_length_a 3.368
_cell_length_b 3.368
_cell_length_c 21.715
_cell_angle_alpha 90.00
_cell_angle_beta 90.00
_cell_angle_gamma 90.00
loop_
_space_group_symop_operation_xyz
'x,y,z'
loop_
_atom_site_label
_atom_site_fract_x
_atom_site_fract_y
_atom_site_fract_z
Mg1 0.000 0.000 0.208
Mg2 0.000 0.000 0.403
Mg3 0.000 0.000 0.597
Mg4 0.000 0.000 0.792
Sn1 0.500 0.500 0.108
Sn2 0.500 0.500 0.304
Sn3 0.500 0.500 0.500
Sn4 0.500 0.500 0.696
Sn5 0.500 0.500 0.892
Hg1 0.000 0.000 0.000
# Crystal system: tetragonal
# Formation energy from the elements (eV per atom): -0.078
# Total moment (μB per formula unit): 0.00
# Space-group type: No. 123
# N(E_F) (states/eV/f.u.): 5.712

# PBE-GGA Mg5SnHg8, relaxed
data_Mg5SnHg8
_space_group_name_H-M_alt 'P 1'
_space_group_IT_number 1
_cell_length_a 7.523
_cell_length_b 7.523
_cell_length_c 7.523
_cell_angle_alpha 109.79
_cell_angle_beta 108.83
_cell_angle_gamma 109.79
loop_
_space_group_symop_operation_xyz
'x,y,z'
loop_
_atom_site_label
_atom_site_fract_x
_atom_site_fract_y
_atom_site_fract_z
Mg1 0.028 0.356 0.126
Mg2 0.874 0.902 0.230
Mg3 0.770 0.644 0.672
Mg4 0.500 0.000 0.500
Mg5 0.328 0.098 0.972
Sn1 0.250 0.500 0.750
Hg1 0.128 0.743 0.059
Hg2 0.941 0.069 0.685
Hg3 0.760 0.261 0.359
Hg4 0.641 0.401 0.901
Hg5 0.501 0.599 0.240
Hg6 0.615 0.931 0.872
Hg7 0.315 0.257 0.385
Hg8 0.099 0.739 0.499
# Crystal system: tetragonal
# Formation energy from the elements (eV per atom): -0.119
# Total moment (μB per formula unit): 0.00
# Space-group type: No. 82
# N(E_F) (states/eV/f.u.): 3.508

# PBE-GGA Mg3SnHg, relaxed
data_Mg3SnHg
_space_group_name_H-M_alt 'P 1'
_space_group_IT_number 1
_cell_length_a 4.915
_cell_length_b 8.297
_cell_length_c 11.672
_cell_angle_alpha 90.00
_cell_angle_beta 90.00
_cell_angle_gamma 90.00
loop_
_space_group_symop_operation_xyz
'x,y,z'
loop_
_atom_site_label
_atom_site_fract_x
_atom_site_fract_y
_atom_site_fract_z
Mg1 0.000 0.165 0.897
Mg2 0.500 0.335 0.397
Mg3 0.500 0.335 0.103
Mg4 0.000 0.835 0.397
Mg5 0.000 0.835 0.103
Mg6 0.500 0.665 0.603
Mg7 0.500 0.665 0.897
Mg8 0.000 0.165 0.603
Mg9 0.500 0.997 0.250
Mg10 0.000 0.503 0.750
Mg11 0.500 0.003 0.750
Mg12 0.000 0.497 0.250
Sn1 0.500 0.000 0.000
Sn2 0.000 0.500 0.500
Sn3 0.000 0.500 0.000
Sn4 0.500 0.000 0.500
Hg1 0.500 0.661 0.250
Hg2 0.000 0.839 0.750
Hg3 0.500 0.339 0.750
Hg4 0.000 0.161 0.250
# Crystal system: orthorhombic
# Excess energy over the best structure of this formula in the dataset (eV per atom): 0.000
# Formation energy from the elements (eV per atom): -0.142
# Total moment (μB per formula unit): 0.00
# Space-group type: No. 63
# N(E_F) (states/eV/f.u.): 1.471

total moment of number 6 (Mg3SnHg)?
0.00 μB per formula unit

Look up the N(E_F) of the sixth one.
1.471 states/eV/f.u.